VASP calculation (PBE-GGA) on TiCo2HPt after structural relaxation.

Lattice parameters (Å, degrees): 3.7105 3.7105 3.8586 90.00 90.00 90.00
Last column: nearest neighbours and their distance in Å.
Fractional coordinates of all 5 atoms:
Ti (0.0000, 0.0000, 0.0000)  2 H 1.93
Co (0.0000, 0.5000, 0.5000)  2 H 1.86
Co (0.5000, 0.0000, 0.5000)  2 H 1.86
H (0.0000, 0.0000, 0.5000)  4 Co 1.86, 2 Ti 1.93
Pt (0.5000, 0.5000, 0.0000)  4 Ti 2.62, 8 Co 2.68

Energy above the lowest structure with this stoichiometry   0 meV per atom
Spin magnetization   0.89 μB/cell
DOS(E_F)   2.24 states/eV/cell
Symmetry   P4/mmm, No. 123

---

VASP calculation (PBE-GGA) on UCoH8Pt2 after structural relaxation.

Lattice parameters (Å, degrees): 4.9608 4.9608 5.4028 90.00 90.00 120.00
Last column: nearest neighbours and their distance in Å.
Fractional coordinates of all 12 atoms:
U (0.0000, 0.0000, 0.0000)  6 H 2.35
Co (0.0000, 0.0000, 0.5000)  6 H 1.62
H (0.1627, 0.3253, 0.3492)  1 Co 1.62
H (0.1627, 0.8373, 0.3492)  1 Co 1.62
H (0.3253, 0.1627, 0.6508)  1 Co 1.62
H (0.3333, 0.6667, 0.8253)  1 Pt 1.60
H (0.6667, 0.3333, 0.1747)  1 Pt 1.60
H (0.6747, 0.8373, 0.3492)  1 Co 1.62
H (0.8373, 0.1627, 0.6508)  1 Co 1.62
H (0.8373, 0.6747, 0.6508)  1 Co 1.62
Pt (0.3333, 0.6667, 0.1211)  1 H 1.60
Pt (0.6667, 0.3333, 0.8789)  1 H 1.60

Spin magnetization   1.18 μB/cell
Final energy   -4.781 eV per atom
DOS(E_F)   6.68 states/eV/cell
Symmetry   P-3m1, No. 164

---

VASP calculation (PBE-GGA) on Y2CoHPt after structural relaxation.

Lattice parameters (Å, degrees): 4.8645 4.8645 3.5027 90.00 90.00 90.00
Last column: nearest neighbours and their distance in Å.
Fractional coordinates of all 5 atoms:
Y (0.0000, 0.5000, 0.0000)  2 H 2.43
Y (0.5000, 0.0000, 0.0000)  2 H 2.43
Co (0.0000, 0.0000, 0.5000)  2 H 1.75
H (0.0000, 0.0000, 0.0000)  2 Co 1.75
Pt (0.5000, 0.5000, 0.5000)  8 Y 3.00

Spin magnetization   0.55 μB/cell
Final energy   -6.555 eV per atom
DOS(E_F)   2.98 states/eV/cell
Symmetry   P4/mmm, No. 123